The following is a DFT calculation (PBE) of a geometry-optimized ThCl2F2 structure.

abc: 7.0014 7.0014 7.2422
angles: 94.13 94.13 118.85
Atoms (fractional coordinates):
Th1 0.8618 0.1382 0.0000
Th2 0.1382 0.8618 0.0000
Cl1 0.0331 0.5342 0.2376
Cl2 0.9669 0.4658 0.7624
Cl3 0.5342 0.0331 0.2376
Cl4 0.4658 0.9669 0.7624
F1 0.9698 0.9698 0.7651
F2 0.7625 0.7625 0.9964
F3 0.2375 0.2375 0.0036
F4 0.0302 0.0302 0.2349

Properties
Formation energy from raw total energies = -2.997 eV per atom
DFT total energy = -5.97 eV/atom